4
Lattice="0.000 3.830 3.830 3.830 0.000 3.830 3.830 3.830 0.000" Properties=species:S:1:pos:R:3 comment="SrPuCdGa PBE-GGA relaxed" sg="F-43m (216)" dos_at_fermi_per_ev_atom=2.976 energy_ev_per_atom=-5.122 pbc="T T T"
Sr 0.000 0.000 0.000
Pu 3.830 3.830 3.830
Cd 1.915 1.915 1.915
Ga 5.745 5.745 5.745